The following is a GGA+U calculation of a relaxed structure of CrINO2, from Alexandria.

Cell: 3.9865 3.9865 4.1862 Å, 90.00 90.00 90.00°
Space group P4/mmm (No. 123)
One atom of each set of equivalent atoms:
Cr 0.0000 0.0000 0.0000 [1 per cell]
I 0.5000 0.5000 0.0000 [1 per cell]
N 0.5000 0.5000 0.5000 [1 per cell]
O 0.0000 0.5000 0.5000 [2 per cell]

Properties
M_tot = 0.359 μB/atom
electronic total energy = -20.093 eV per formula unit